Entry 1:
The following is a DFT calculation (PBE) of a relaxed structure of BeNiRh2.

The calculation puts the energy of formation from the pure elements at 0.2 eV per formula unit. Its space group is F-43m (216). The value obtained for the total moment is 1.8 μB per formula unit. The calculation puts the total energy at -5.99 eV per atom.

```
BeNiRh2
1.0
0.0000 2.9255 2.9255
2.9255 0.0000 2.9255
2.9255 2.9255 0.0000
Be Ni Rh
1 1 2
Direct
0.0000 0.0000 0.0000
0.7500 0.7500 0.7500
0.2500 0.2500 0.2500
0.5000 0.5000 0.5000
```

---

Entry 2:
The following is a DFT calculation (PBE) of a relaxed structure of Tb4Y3Cd.

The calculation puts the energy of formation from the pure elements at 2.8 eV per formula unit. Its space group is Imm2 (44). The value obtained for the total moment is 0.0 μB per formula unit. The calculation puts the total energy at -4.50 eV per atom.

```
Tb4Y3Cd
1.0
-3.0919 4.4210 4.9664
3.0919 -4.4210 4.9664
3.0919 4.4210 -4.9664
Tb Y Cd
4 3 1
Direct
0.1736 0.0000 0.1736
0.5120 0.2608 0.7487
0.5120 0.7633 0.2513
0.8264 0.0000 0.8264
0.3673 0.6813 0.6860
0.8366 0.3366 0.5000
0.9953 0.6813 0.3140
0.2550 0.2550 0.0000
```

---

Entry 3:
The following is a DFT calculation (PBE) of a relaxed structure of CaAc2InO6.

Its space group is P2_1/c (14). The value obtained for the total moment is 1.1 μB per formula unit. The calculation puts the total energy at -6.87 eV per atom. Its uncorrected formation energy is -2601 meV/atom.

```
CaAc2InO6
1.0
5.9621 0.0000 0.0000
0.0000 6.2120 0.0000
-5.9592 0.0000 8.5357
Ca Ac In O
2 4 2 12
Direct
0.0000 0.0000 0.0000
0.0000 0.5000 0.5000
0.2659 0.0576 0.7489
0.2659 0.4424 0.2489
0.7341 0.5576 0.7511
0.7341 0.9424 0.2511
0.5000 0.0000 0.5000
0.5000 0.5000 0.0000
0.1406 0.0570 0.2582
0.1406 0.4430 0.7582
0.2579 0.6878 0.0580
0.2579 0.8122 0.5580
0.3806 0.2035 0.0656
0.3806 0.2965 0.5656
0.6194 0.7035 0.4344
0.6194 0.7965 0.9344
0.7421 0.1878 0.4420
0.7421 0.3122 0.9420
0.8594 0.5570 0.2418
0.8594 0.9430 0.7418
```

---

Entry 4:
The following is a DFT calculation (PBE) of a relaxed structure of Na2CdI2Br2.

Its space group is C2/m (12). The value obtained for the total moment is 0.0 μB per formula unit. The calculation puts the total energy at -2.48 eV per atom. Its uncorrected formation energy is -1053 meV/atom.

```
Na2CdI2Br2
1.0
7.7477 -2.1980 0.0000
7.7477 2.1980 0.0000
-3.6748 0.0000 6.8528
Na Cd I Br
2 1 2 2
Direct
0.2263 0.2263 0.2322
0.7737 0.7737 0.7678
0.5000 0.5000 0.5000
0.3930 0.3930 0.0902
0.6070 0.6070 0.9098
0.1343 0.1343 0.4943
0.8657 0.8657 0.5057
```

---

Entry 5:
The following is a DFT calculation (PBE) of a relaxed structure of MoRuIN2.

Its space group is P4/mmm (123). For the distance to the lowest polymorph of the same formula, the calculation gives 0.355 eV per atom. The value obtained for the total moment is 3.4 μB per formula unit. The calculation puts the total energy at -6.18 eV per atom. Its uncorrected formation energy is 1483 meV/atom.

```
MoRuIN2
1.0
3.8990 0.0000 0.0000
0.0000 3.8990 0.0000
0.0000 0.0000 5.8213
Mo Ru I N
1 1 1 2
Direct
0.0000 0.0000 0.0000
0.5000 0.5000 0.5000
0.5000 0.5000 0.0000
0.0000 0.5000 0.5000
0.5000 0.0000 0.5000
```

---

Entry 6:
The following is a DFT calculation (PBE) of a relaxed structure of Cr3Fe.

The calculation puts the energy of formation from the pure elements at 1.1 eV per formula unit. Its space group is P-6m2 (187). The value obtained for the total moment is 0.1 μB per formula unit. The calculation puts the total energy at -9.06 eV per atom.

```
Cr3Fe
1.0
2.4944 0.0000 0.0000
-1.2472 2.1602 0.0000
0.0000 0.0000 8.4741
Cr Fe
3 1
Direct
0.0000 0.0000 0.0000
0.6667 0.3333 0.2620
0.6667 0.3333 0.7380
0.0000 0.0000 0.5000
```